12
Lattice="-4.5213 1.3197 -2.5313 1.0557 -3.4987 -3.7097 -4.6191 -7.8921 9.7837" Properties=species:S:1:pos:R:3 comment="Ac4Pr3Hg3N2 (PBE, relaxed)" formation_energy_uncorrected_ev_per_atom=-0.637 dos_ef_per_ev_fu=8.13 sg="No. 71" dft_energy_ev_per_cell=-56.0 rho_g_cm3=9.09 pbc="T T T"
Ac -4.6388 -9.0374 3.5483
Ac -2.5563 -3.5977 2.6657
Ac -5.5483 -6.4676 0.8659
Ac -3.4666 -1.0278 -0.0172
Pr -0.0102 0.0030 -0.0057
Pr -0.6894 -3.4525 -0.5950
Pr -7.4165 -6.6124 4.1258
Hg -1.7455 -1.0858 -3.1276
Hg -4.1744 -5.8845 4.3619
Hg -3.9316 -4.1804 -0.8311
N -1.2878 -1.8034 1.3344
N -6.8175 -8.2617 2.1968

18
Lattice="4.3170 0.0000 0.0000 -2.1585 9.8278 0.0000 0.0000 0.0000 14.4896" Properties=species:S:1:pos:R:3 comment="Ac5Hg2PtN (PBE, relaxed)" formation_energy_uncorrected_ev_per_atom=-0.729 dos_ef_per_ev_fu=7.02 sg="No. 36" dft_energy_ev_per_cell=-84.1 rho_g_cm3=9.43 pbc="T T T"
Ac 0.0000 6.9081 0.1209
Ac 2.1585 3.4500 12.7855
Ac 0.0000 9.6823 11.3258
Ac 0.0000 5.6488 9.7294
Ac 2.1585 9.0916 7.4042
Ac 2.1585 2.9197 7.3657
Ac 0.0000 6.3778 5.5407
Ac 2.1585 0.1455 4.0810
Ac 2.1585 4.1790 2.4846
Ac 0.0000 0.7362 0.1594
Hg 2.1585 7.1567 12.0070
Hg 0.0000 2.1859 9.9496
Hg 0.0000 2.6711 4.7622
Hg 2.1585 7.6419 2.7048
Pt 2.1585 5.9027 7.6477
Pt 0.0000 3.9251 0.4029
N 2.1585 0.9886 13.4167
N 0.0000 8.8392 6.1719

9
Lattice="4.3528 0.0000 0.0000 0.0000 7.9332 -0.0126 -2.1764 -3.1318 7.8968" Properties=species:S:1:pos:R:3 comment="Ac4Hg2PtN2 (PBE, relaxed)" formation_energy_uncorrected_ev_per_atom=-0.882 dos_ef_per_ev_fu=5.61 sg="No. 12" dft_energy_ev_per_cell=-47.7 rho_g_cm3=9.34 pbc="T T T"
Ac 0.0000 -0.1055 3.3230
Ac 2.1764 4.9069 4.5612
Ac 2.1764 5.9310 0.5572
Ac 0.0000 -1.1296 7.3270
Hg 0.0000 3.3404 1.9203
Hg 2.1764 1.4611 5.9639
Pt 0.0000 0.0000 0.0000
N 2.1764 6.6409 2.7955
N 0.0000 -1.8394 5.0887

18
Lattice="-2.5039 2.8460 -1.9274 2.3116 -6.1912 -7.4537 -11.7564 -8.1999 3.1651" Properties=species:S:1:pos:R:3 comment="Ac5Hg2RhN (PBE, relaxed)" formation_energy_uncorrected_ev_per_atom=-0.647 dos_ef_per_ev_fu=6.46 sg="No. 36" dft_energy_ev_per_cell=-85.3 rho_g_cm3=9.04 pbc="T T T"
Ac 0.6516 -3.4140 -5.8877
Ac -11.2653 -7.5603 -1.2197
Ac -8.1922 -11.1637 -5.8417
Ac -7.2275 -8.1897 -2.7035
Ac -6.3351 -7.1479 -7.0158
Ac -6.9075 -4.1604 -1.8609
Ac -3.8448 -6.1899 -4.1451
Ac -4.6034 -0.9721 -0.1462
Ac -2.7532 -1.9828 -4.0423
Ac -0.0791 -0.5371 -0.6902
Hg -10.2015 -8.8225 -4.4656
Hg -7.8122 -6.6640 0.3091
Hg -3.5522 -3.9816 -1.2644
Hg -2.5940 -3.8052 -6.9403
Rh -6.8187 -5.7125 -4.2681
Rh 0.1194 -2.1712 -3.3611
N -12.0310 -6.7021 1.0423
N -4.0748 -7.7425 -6.1390

5
Lattice="-0.4432 -0.6592 3.8281 5.4996 0.6995 0.7571 -0.8125 5.4707 0.8480" Properties=species:S:1:pos:R:3 comment="Ac2HgRuN (PBE, relaxed)" formation_energy_uncorrected_ev_per_atom=-0.582 dos_ef_per_ev_fu=3.70 sg="No. 123" dft_energy_ev_per_cell=-29.0 rho_g_cm3=10.44 pbc="T T T"
Ac -0.4063 2.7354 0.4240
Ac 2.7498 0.3497 0.3786
Hg 2.1219 2.7555 2.7166
Ru -0.2216 -0.3296 1.9141
N 0.0000 0.0000 0.0000

9
Lattice="-1.6889 3.4358 -2.0867 -3.8689 -4.8729 -4.8920 -3.8837 0.5260 8.5649" Properties=species:S:1:pos:R:3 comment="Ac4Hg2SbN2 (PBE, relaxed)" formation_energy_uncorrected_ev_per_atom=-0.878 dos_ef_per_ev_fu=3.43 sg="No. 12" dft_energy_ev_per_cell=-45.7 rho_g_cm3=8.38 pbc="T T T"
Ac -2.6667 0.1980 2.4845
Ac -6.7749 -1.1092 -0.8982
Ac -4.2689 -1.7640 -4.0049
Ac -5.1727 0.8529 5.5911
Hg -3.0287 -1.8668 -0.6224
Hg -6.4129 0.9557 2.2087
Sb 0.0000 0.0000 0.0000
N -6.3473 -2.2204 -3.0740
N -3.0943 1.3093 4.6603